VASP calculation (PBE) on an optimized crystal structure of HfFe2I8.

Lattice parameters (Å, degrees): 14.1181 10.3013 6.7349 90.00 90.25 90.00
With the nearest neighbours (Å) after each atom.
Space group C2/m (No. 12)
Symmetry-distinct sites (fractional):
1 Hf 0.0000 0.0000 0.0000 (multiplicity 2)  6 I 2.87-2.89
2 Fe 0.1694 0.0000 0.3596 (multiplicity 4)  4 I 2.51-2.66
3 I 0.0812 0.2057 0.2332 (multiplicity 8)  1 Fe 2.60, 1 Hf 2.87
4 I 0.1569 0.5000 0.7217 (multiplicity 4)  1 Fe 2.51
5 I 0.1678 0.0000 0.7550 (multiplicity 4)  1 Fe 2.66, 1 Hf 2.89

Summary:
- crystal system = monoclinic

VASP calculation (PBE) on an optimized crystal structure of HfFeI3.

Lattice parameters (Å, degrees): 5.1109 5.1109 5.1109 90.00 90.00 90.00
With the nearest neighbours (Å) after each atom.
Space group Pm-3m (No. 221)
Symmetry-distinct sites (fractional):
1 Hf 0.0000 0.0000 0.0000 (multiplicity 1)  12 I 3.61
2 Fe 0.5000 0.5000 0.5000 (multiplicity 1)  6 I 2.56
3 I 0.0000 0.5000 0.5000 (multiplicity 3)  2 Fe 2.56

Summary:
- crystal system = cubic

VASP calculation (PBE) on an optimized crystal structure of Hf2FeI.

Lattice parameters (Å, degrees): 6.0539 6.0539 12.1768 90.00 90.00 90.00
With the nearest neighbours (Å) after each atom.
Space group I-42d (No. 122)
Symmetry-distinct sites (fractional):
1 Hf 0.1492 0.2500 0.1250 (multiplicity 8)  2 Fe 2.33
2 Fe 0.0000 0.0000 0.0000 (multiplicity 4)  4 Hf 2.33
3 I 0.0000 0.0000 0.5000 (multiplicity 4)  4 Hf 3.02

Summary:
- crystal system = tetragonal

VASP calculation (PBE) on an optimized crystal structure of HfFeI2.

Lattice parameters (Å, degrees): 6.2444 6.2444 11.2138 90.00 90.00 90.00
With the nearest neighbours (Å) after each atom.
Space group I-42d (No. 122)
Symmetry-distinct sites (fractional):
1 Hf 0.0000 0.0000 0.0000 (multiplicity 4)  4 I 2.80
2 Fe 0.0000 0.0000 0.5000 (multiplicity 4)  4 I 2.45
3 I 0.2019 0.2500 0.6250 (multiplicity 8)  2 Fe 2.45

Summary:
- crystal system = tetragonal

VASP calculation (PBE) on an optimized crystal structure of HfMn2FeI.

Lattice parameters (Å, degrees): 4.7023 4.7023 5.2585 90.00 90.00 90.00
With the nearest neighbours (Å) after each atom.
Space group P4/mmm (No. 123)
Symmetry-distinct sites (fractional):
1 Hf 0.0000 0.0000 0.0000 (multiplicity 1)  2 I 2.63
2 Mn 0.0000 0.5000 0.5000 (multiplicity 2)  2 I 2.35
3 Fe 0.5000 0.5000 0.0000 (multiplicity 1)  4 Hf 3.33, 8 Mn 3.53
4 I 0.0000 0.0000 0.5000 (multiplicity 1)  4 Mn 2.35, 2 Hf 2.63

Summary:
- crystal system = tetragonal

VASP calculation (PBE) on an optimized crystal structure of HfFeMoI2.

Lattice parameters (Å, degrees): 5.0716 5.0716 4.7406 90.00 90.00 90.00
With the nearest neighbours (Å) after each atom.
Space group P4/mmm (No. 123)
Symmetry-distinct sites (fractional):
1 Hf 0.0000 0.0000 0.0000 (multiplicity 1)  2 Fe 2.37
2 Fe 0.0000 0.0000 0.5000 (multiplicity 1)  2 Hf 2.37, 4 I 2.54
3 Mo 0.5000 0.5000 0.0000 (multiplicity 1)  8 I 3.47, 4 Hf 3.59
4 I 0.0000 0.5000 0.5000 (multiplicity 2)  2 Fe 2.54

Summary:
- crystal system = tetragonal

VASP calculation (PBE) on an optimized crystal structure of NaHf2FeI.

Lattice parameters (Å, degrees): 5.3171 5.3171 4.6675 90.00 90.00 90.00
With the nearest neighbours (Å) after each atom.
Space group P4/mmm (No. 123)
Symmetry-distinct sites (fractional):
1 Na 0.0000 0.0000 0.0000 (multiplicity 1)  8 Hf 3.54, 4 Fe 3.76
2 Hf 0.0000 0.5000 0.5000 (multiplicity 2)  2 I 2.66
3 Fe 0.5000 0.5000 0.0000 (multiplicity 1)  2 I 2.33
4 I 0.5000 0.5000 0.5000 (multiplicity 1)  2 Fe 2.33

Summary:
- crystal system = tetragonal

VASP calculation (PBE) on an optimized crystal structure of Hf2FeReI.

Lattice parameters (Å, degrees): 5.1074 5.1074 4.6908 90.00 90.00 90.00
With the nearest neighbours (Å) after each atom.
Space group P4/mmm (No. 123)
Symmetry-distinct sites (fractional):
1 Hf 0.0000 0.5000 0.0000 (multiplicity 2)  2 Re 2.55
2 Fe 0.0000 0.0000 0.5000 (multiplicity 1)  2 Re 2.35
3 Re 0.0000 0.0000 0.0000 (multiplicity 1)  2 Fe 2.35, 4 Hf 2.55
4 I 0.5000 0.5000 0.5000 (multiplicity 1)  8 Hf 3.47, 4 Fe 3.61

Summary:
- crystal system = tetragonal

VASP calculation (PBE) on an optimized crystal structure of Hf2FeReI.

Lattice parameters (Å, degrees): 4.7568 4.7568 4.5049 90.00 90.00 90.00
With the nearest neighbours (Å) after each atom.
Space group P4/mmm (No. 123)
Symmetry-distinct sites (fractional):
1 Hf 0.0000 0.5000 0.0000 (multiplicity 2)  2 Fe 2.38
2 Fe 0.0000 0.0000 0.0000 (multiplicity 1)  2 I 2.25, 4 Hf 2.38
3 Re 0.5000 0.5000 0.5000 (multiplicity 1)  8 Hf 3.28, 4 I 3.36
4 I 0.0000 0.0000 0.5000 (multiplicity 1)  2 Fe 2.25

Summary:
- crystal system = tetragonal

VASP calculation (PBE) on an optimized crystal structure of HfFeSbI2.

Lattice parameters (Å, degrees): 5.0948 5.0948 5.1941 90.00 90.00 90.00
With the nearest neighbours (Å) after each atom.
Space group P4/mmm (No. 123)
Symmetry-distinct sites (fractional):
1 Hf 0.0000 0.0000 0.0000 (multiplicity 1)  4 Sb 3.60, 8 I 3.64
2 Fe 0.5000 0.5000 0.5000 (multiplicity 1)  4 I 2.55, 2 Sb 2.60
3 Sb 0.5000 0.5000 0.0000 (multiplicity 1)  2 Fe 2.60
4 I 0.0000 0.5000 0.5000 (multiplicity 2)  2 Fe 2.55

Summary:
- crystal system = tetragonal

VASP calculation (PBE) on an optimized crystal structure of HfFeSb2I.

Lattice parameters (Å, degrees): 4.9069 4.9069 5.3209 90.00 90.00 90.00
With the nearest neighbours (Å) after each atom.
Space group P4/mmm (No. 123)
Symmetry-distinct sites (fractional):
1 Hf 0.0000 0.0000 0.0000 (multiplicity 1)  4 I 3.47, 8 Sb 3.62
2 Fe 0.5000 0.5000 0.5000 (multiplicity 1)  4 Sb 2.45, 2 I 2.66
3 Sb 0.0000 0.5000 0.5000 (multiplicity 2)  2 Fe 2.45
4 I 0.5000 0.5000 0.0000 (multiplicity 1)  2 Fe 2.66

Summary:
- crystal system = tetragonal

VASP calculation (PBE) on an optimized crystal structure of HfFeSb2I.

Lattice parameters (Å, degrees): 5.5385 5.5385 5.6325 90.00 90.00 90.00
With the nearest neighbours (Å) after each atom.
Space group P4/mmm (No. 123)
Symmetry-distinct sites (fractional):
1 Hf 0.0000 0.0000 0.0000 (multiplicity 1)  4 Sb 2.77, 2 I 2.82
2 Fe 0.5000 0.5000 0.5000 (multiplicity 1)  4 I 3.92, 8 Sb 3.95
3 Sb 0.0000 0.5000 0.0000 (multiplicity 2)  2 Hf 2.77
4 I 0.0000 0.0000 0.5000 (multiplicity 1)  2 Hf 2.82

Summary:
- crystal system = tetragonal

no.,density of states at the Fermi level (states/eV/cell),raw formation energy (eV per atom)
1,13.149,-0.437
2,5.275,0.771
3,2.204,0.607
4,28.889,0.767
5,3.297,1.583
6,4.752,1.272
7,6.203,1.280
8,4.794,0.836
9,4.736,1.154
10,6.948,0.762
11,5.586,0.690
12,8.505,0.788